VASP calculation (PBE) on a relaxed structure of Na3Pr2SmS6.

## Properties
Size of the total moment: 0.0 μB per cell
Raw formation energy: -1.792 eV/atom

a b c (Å): 7.165 7.165 7.109
angles (deg): 99.68 99.68 120.00
Fractional coordinates of all 12 atoms:
Na 0.167 0.833 0.500
Na 0.500 0.500 0.500
Na 0.833 0.167 0.500
Pr 0.667 0.333 0.000
Pr 0.333 0.667 0.000
S 0.594 0.922 0.766
S 0.922 0.594 0.766
S 0.078 0.406 0.234
S 0.406 0.078 0.234
S 0.749 0.749 0.233
S 0.251 0.251 0.767
Sm 0.000 0.000 0.000